Computed, not measured: a relaxed CaPd6Pt6 crystal at the PBE level of DFT.

Lattice parameters (Å, degrees): 6.9824 6.9824 6.9824 135.19 98.78 97.93
With the nearest neighbours (Å) after each atom.
Sites, in units of the cell vectors:
Ca: 0.0000 0.0000 0.0000  8 Pd 3.16-3.23, 12 Pt 3.39-3.49
Pd: 0.2001 0.7001 0.5000  6 Pt 2.67-2.79, 2 Pd 2.99
Pd: 0.3478 0.0000 0.3478  3 Pd 2.77-3.08, 6 Pt 2.80-2.87
Pd: 0.3481 0.3481 0.0000  6 Pt 2.78-2.81, 3 Pd 2.79-2.99
Pd: 0.6522 0.0000 0.6522  3 Pd 2.77-3.08, 6 Pt 2.80-2.87
Pd: 0.6519 0.6519 0.0000  6 Pt 2.78-2.81, 3 Pd 2.79-2.99
Pd: 0.7999 0.2999 0.5000  6 Pt 2.67-2.79, 2 Pd 2.99
Pt: 0.0000 0.0000 0.5000  4 Pt 2.66, 6 Pd 2.67-2.80
Pt: 0.0000 0.5000 0.0000  4 Pt 2.66, 6 Pd 2.67-2.80
Pt: 0.2309 0.5000 0.7309  4 Pt 2.66, 6 Pd 2.79-2.87
Pt: 0.5000 0.0000 0.0000  4 Pt 2.66, 6 Pd 2.67-2.80
Pt: 0.5000 0.5000 0.5000  4 Pt 2.66, 6 Pd 2.67-2.80
Pt: 0.7691 0.5000 0.2691  4 Pt 2.66, 6 Pd 2.79-2.87

Results
Its space group is Immm, No. 71. For the formation energy, the calculation gives -221 meV/atom.